1.
Zr2MnSb2 | PBE | relaxed

Structure (extended XYZ):
```
10
Lattice="-1.123 2.613 6.924 5.248 -4.657 2.608 2.739 2.753 -0.595" Properties=species:S:1:pos:R:3 pbc="T T T"
Sb 4.069 -3.044 4.643
Sb 2.455 -0.804 7.582
Sb 0.056 1.000 4.889
Sb 1.670 -1.240 1.950
Mn 0.000 0.000 0.000
Mn 2.062 -1.022 4.766
Zr 4.628 -1.266 2.473
Zr 5.076 -0.855 6.436
Zr 2.236 1.975 6.464
Zr 1.788 1.565 2.501
```

Properties
Formation energy without anion corrections, eV/atom: -0.331
Density of states at the Fermi level, states/eV/atom: 0.362

2.
ZrMnSb | PBE | relaxed

Structure (extended XYZ):
```
3
Lattice="4.505 0.000 0.000 -2.253 3.902 0.000 0.000 0.000 3.257" Properties=species:S:1:pos:R:3 pbc="T T T"
Mn 0.000 0.000 0.497
Sb 0.000 2.601 0.558
Zr 2.253 1.301 2.202
```

Properties
Formation energy without anion corrections, eV/atom: -0.152
Density of states at the Fermi level, states/eV/atom: 1.148

3.
ZrMn2Sb | PBE | relaxed

Structure (extended XYZ):
```
4
Lattice="-4.733 -7.431 0.467 -2.868 -7.771 3.037 -5.551 -6.050 3.227" Properties=species:S:1:pos:R:3 pbc="T T T"
Mn -13.136 -21.225 6.723
Mn -6.592 -10.652 3.374
Sb -3.288 -5.313 1.683
Zr -9.864 -15.938 5.048
```

Properties
Formation energy without anion corrections, eV/atom: 0.312
Density of states at the Fermi level, states/eV/atom: 1.036

4.
Zr2MnSb | PBE | relaxed

Structure (extended XYZ):
```
4
Lattice="-0.808 5.423 6.677 -3.518 3.497 7.074 -0.555 2.481 8.257" Properties=species:S:1:pos:R:3 pbc="T T T"
Mn -1.220 2.850 5.502
Sb -3.661 8.551 16.506
Zr -4.820 11.259 21.733
Zr -2.502 5.844 11.279
```

Properties
Formation energy without anion corrections, eV/atom: -0.037
Density of states at the Fermi level, states/eV/atom: 0.752

5.
ScMn4 | PBE | relaxed

Structure (extended XYZ):
```
5
Lattice="-2.936 2.936 2.936 2.936 -2.936 2.936 2.936 2.936 -2.936" Properties=species:S:1:pos:R:3 pbc="T T T"
Sc 0.000 0.000 0.000
Mn -1.468 1.468 1.468
Mn 1.468 1.468 1.468
Mn 1.468 -1.468 1.468
Mn 1.468 1.468 -1.468
```

Properties
Distance to the lowest polymorph of the same formula, eV per formula unit: 6.51
Density of states at the Fermi level, states/eV/atom: 1.744
Calculated formation energy, eV/atom: 1.3240

6.
Sc3Mn4 | PBE | relaxed

Structure (extended XYZ):
```
7
Lattice="-7.592 1.002 10.965 -10.124 2.820 8.273 8.002 -3.734 -10.045" Properties=species:S:1:pos:R:3 pbc="T T T"
Sc 0.000 0.000 0.000
Sc -12.283 2.650 13.337
Sc -5.433 1.172 5.900
Mn -15.566 3.358 16.903
Mn -10.209 2.202 11.086
Mn -7.507 1.619 8.151
Mn -2.150 0.464 2.334
```

Properties
Distance to the lowest polymorph of the same formula, eV per formula unit: 0.00
Density of states at the Fermi level, states/eV/atom: 1.125
Calculated formation energy, eV/atom: 0.0337